[1]
DFT (GGA-PBEsol) results for a relaxed structure of CuPt.

The volume comes out at 13.40 Å³/atom. As for the formation energy: -77 meV per atom. As for the space-group type: P2. The value obtained for the electronic total energy is -68.71 eV/cell. As for the density of states at the Fermi level: 11.1 states/eV/cell.

```
CuPt
1.0
-0.579 -1.089 4.435
0.251 -3.857 -2.532
7.964 -0.142 1.005
Cu Pt
6 6
Direct
0.000 0.000 0.007
0.000 0.500 0.171
0.000 0.000 0.327
0.000 0.500 0.496
0.500 0.000 0.168
0.500 0.500 0.664
0.000 0.000 0.659
0.000 0.500 0.837
0.500 0.500 0.008
0.500 0.500 0.334
0.500 0.000 0.494
0.500 0.000 0.835
```

[2]
DFT (GGA-PBEsol) results for a relaxed structure of CuHgTe2.

The volume comes out at 23.89 Å³/atom. As for the space-group type: C2/m. For the formation energy (no corrections), the calculation gives -0.02 eV/atom. The value obtained for the electronic total energy is -12.01 eV/cell. As for the density of states at the Fermi level: 2.0 states/eV/cell.

```
CuHgTe2
1.0
3.886 0.000 0.000
-1.943 3.651 -0.063
0.000 -1.981 6.769
Cu Hg Te
1 1 2
Direct
0.000 0.000 0.500
0.500 0.000 0.000
0.700 0.399 0.710
0.300 0.601 0.290
```

[3]
DFT (GGA-PBEsol) results for a relaxed structure of PAu5.

The volume comes out at 16.70 Å³/atom. As for the formation energy: 162 meV per atom. As for the space-group type: Amm2. The value obtained for the electronic total energy is -24.44 eV/cell. As for the density of states at the Fermi level: 1.7 states/eV/cell. The calculation puts the energy above the most stable polymorph in this dataset at 20.7 meV per atom.

```
PAu5
1.0
-1.669 2.183 -0.672
-0.576 -1.796 -4.406
-5.067 -4.889 2.655
Au P
5 1
Direct
0.003 0.000 0.005
0.335 0.000 0.670
0.667 0.000 0.334
0.448 0.500 0.896
0.774 0.500 0.548
0.107 0.500 0.214
```

[4]
DFT (GGA-PBEsol) results for a relaxed structure of Nb2InNiF.

The volume comes out at 19.90 Å³/atom. As for the space-group type: P4/mmm. For the formation energy (no corrections), the calculation gives 0.66 eV/atom. The value obtained for the electronic total energy is -29.43 eV/cell. As for the density of states at the Fermi level: 5.0 states/eV/cell.

```
Nb2InNiF
1.0
-3.236 -3.051 -1.191
1.228 -2.683 3.535
-3.095 2.209 2.752
Ni Nb F In
1 2 1 1
Direct
0.000 0.000 0.000
0.000 0.500 0.000
0.500 0.000 0.000
0.500 0.500 0.500
0.000 0.000 0.500
```

[5]
DFT (GGA-PBEsol) results for a relaxed structure of LiNbFeO4.

The volume comes out at 11.18 Å³/atom. As for the space-group type: Imma. For the formation energy (no corrections), the calculation gives -1.96 eV/atom. The value obtained for the electronic total energy is -225.81 eV/cell. As for the density of states at the Fermi level: 8.9 states/eV/cell. The calculation puts the energy above the most stable polymorph in this dataset at 8.5 meV per atom.

```
LiNbFeO4
1.0
5.922 0.000 0.000
2.961 5.285 0.066
2.961 1.733 10.023
Li Nb Fe O
4 4 4 16
Direct
0.057 0.581 0.806
0.556 0.081 0.306
0.444 0.919 0.694
0.943 0.419 0.194
0.000 0.000 0.500
0.500 0.500 0.000
0.250 0.750 0.250
0.750 0.250 0.750
0.000 0.000 0.000
0.000 0.500 0.500
0.500 0.500 0.500
0.500 0.000 0.000
0.128 0.639 0.605
0.628 0.139 0.105
0.355 0.413 0.378
0.855 0.913 0.878
0.145 0.087 0.122
0.645 0.587 0.622
0.372 0.861 0.895
0.872 0.361 0.395
0.353 0.876 0.375
0.853 0.376 0.875
0.897 0.876 0.375
0.397 0.376 0.875
0.147 0.624 0.125
0.647 0.124 0.625
0.603 0.624 0.125
0.103 0.124 0.625
```

[6]
DFT (GGA-PBEsol) results for a relaxed structure of Li3CuF.

The volume comes out at 12.24 Å³/atom. As for the space-group type: Pm-3m. For the formation energy (no corrections), the calculation gives -0.99 eV/atom. The value obtained for the electronic total energy is -17.09 eV/cell. As for the density of states at the Fermi level: 2.2 states/eV/cell.

```
Li3CuF
1.0
3.941 0.000 0.000
0.000 3.941 0.000
0.000 0.000 3.941
Li Cu F
3 1 1
Direct
0.000 0.500 0.000
0.000 0.000 0.500
0.500 0.000 0.000
0.500 0.500 0.500
0.000 0.000 0.000
```

[7]
DFT (GGA-PBEsol) results for a relaxed structure of Ta2Ir.

The volume comes out at 16.26 Å³/atom. As for the formation energy: 149 meV per atom. As for the space-group type: P6/mmm. The value obtained for the electronic total energy is -34.48 eV/cell. As for the density of states at the Fermi level: 4.2 states/eV/cell.

```
Ta2Ir
1.0
2.741 0.000 0.000
0.000 4.533 0.000
0.000 -2.267 3.926
Ir Ta
1 2
Direct
0.500 0.000 0.000
0.000 0.333 0.667
0.000 0.667 0.333
```

[8]
DFT (GGA-PBEsol) results for a relaxed structure of TaInNi2.

The volume comes out at 14.55 Å³/atom. As for the formation energy: -62 meV per atom. As for the space-group type: P4mm. The value obtained for the electronic total energy is -28.10 eV/cell. As for the density of states at the Fermi level: 1.8 states/eV/cell.

```
TaInNi2
1.0
-0.848 -1.759 -2.369
-0.331 -2.392 1.895
-5.899 1.567 0.949
In Ni Ta
1 2 1
Direct
0.500 0.500 0.786
0.000 0.000 0.033
0.500 0.500 0.232
0.000 0.000 0.448
```

[9]
DFT (GGA-PBEsol) results for a relaxed structure of Co2SiTe.

The volume comes out at 14.32 Å³/atom. As for the space-group type: Imm2. For the formation energy (no corrections), the calculation gives -0.08 eV/atom. The value obtained for the electronic total energy is -25.06 eV/cell. As for the density of states at the Fermi level: 3.6 states/eV/cell. The calculation puts the energy above the most stable polymorph in this dataset at 0.0 meV per atom.

```
Co2SiTe
1.0
-2.473 -1.470 0.283
1.770 -2.832 0.752
0.174 3.531 5.098
Co Si Te
2 1 1
Direct
0.987 0.987 0.975
0.675 0.175 0.349
0.544 0.544 0.087
0.294 0.794 0.588
```

[10]
DFT (GGA-PBEsol) results for a relaxed structure of TaInHCl2.

The volume comes out at 24.23 Å³/atom. As for the space-group type: P4/mmm. The value obtained for the electronic total energy is -22.09 eV/cell. As for the density of states at the Fermi level: 2.0 states/eV/cell.

```
TaInHCl2
1.0
4.606 0.000 0.000
0.000 4.606 0.000
0.000 0.000 5.709
Cl In H Ta
2 1 1 1
Direct
0.000 0.500 0.000
0.500 0.000 0.000
0.000 0.000 0.500
0.500 0.500 0.500
0.000 0.000 0.000
```

[11]
DFT (GGA-PBEsol) results for a relaxed structure of MoRuRh2.

The volume comes out at 13.75 Å³/atom. As for the formation energy: -161 meV per atom. As for the space-group type: P4/mmm. The value obtained for the electronic total energy is -38.86 eV/cell. As for the density of states at the Fermi level: 2.5 states/eV/cell. The calculation puts the energy above the most stable polymorph in this dataset at 8.1 meV per atom.

```
MoRuRh2
1.0
-2.200 -2.497 1.786
0.628 -2.517 -2.745
3.069 -1.330 1.921
Ru Mo Rh
1 1 2
Direct
0.500 0.500 0.500
0.000 0.000 0.500
0.000 0.500 0.000
0.500 0.000 0.000
```

[12]
DFT (GGA-PBEsol) results for a relaxed structure of La2MgZn.

The volume comes out at 27.34 Å³/atom. As for the formation energy: -193 meV per atom. As for the space-group type: P4/mmm. The value obtained for the electronic total energy is -14.76 eV/cell. As for the density of states at the Fermi level: 3.7 states/eV/cell. The calculation puts the energy above the most stable polymorph in this dataset at 0.0 meV per atom.

```
La2MgZn
1.0
-1.677 -3.377 0.111
0.196 0.027 3.767
-6.874 3.423 0.333
Zn Mg La
1 1 2
Direct
0.500 0.500 0.500
0.500 0.500 0.000
0.000 0.000 0.724
0.000 0.000 0.276
```

[13]
DFT (GGA-PBEsol) results for a relaxed structure of Co2AgMo.

The volume comes out at 12.88 Å³/atom. As for the formation energy: 263 meV per atom. As for the space-group type: Pmmm. The value obtained for the electronic total energy is -29.50 eV/cell. As for the density of states at the Fermi level: 3.7 states/eV/cell. The calculation puts the energy above the most stable polymorph in this dataset at 0.0 meV per atom.

```
Co2AgMo
1.0
2.701 0.000 0.033
0.000 3.377 0.000
-0.071 0.000 5.647
Mo Co Ag
1 2 1
Direct
0.500 0.500 0.000
0.000 0.000 0.772
0.000 0.000 0.228
0.500 0.500 0.500
```

[14]
DFT (GGA-PBEsol) results for a relaxed structure of Tm9B5S21.

The volume comes out at 18.28 Å³/atom. As for the space-group type: R3. For the formation energy (no corrections), the calculation gives -1.50 eV/atom. The value obtained for the electronic total energy is -447.76 eV/cell.

```
Tm9B5S21
1.0
10.897 -0.097 -0.104
-0.826 10.866 -0.104
-0.826 -0.883 10.831
Tm B S
18 10 42
Direct
0.924 0.536 0.758
0.550 0.193 0.423
0.231 0.843 0.079
0.193 0.423 0.550
0.843 0.079 0.231
0.536 0.758 0.924
0.079 0.231 0.843
0.758 0.924 0.536
0.423 0.550 0.193
0.723 0.082 0.865
0.370 0.758 0.522
0.061 0.448 0.206
0.448 0.206 0.061
0.082 0.865 0.723
0.758 0.522 0.370
0.522 0.370 0.758
0.206 0.061 0.448
0.865 0.723 0.082
0.761 0.419 0.077
0.419 0.077 0.761
0.077 0.761 0.419
0.581 0.913 0.263
0.263 0.581 0.913
0.913 0.263 0.581
0.025 0.025 0.025
0.703 0.703 0.703
0.202 0.202 0.202
0.525 0.525 0.525
0.681 0.565 0.134
0.343 0.221 0.825
0.006 0.907 0.480
0.907 0.480 0.006
0.565 0.134 0.681
0.221 0.825 0.343
0.825 0.343 0.221
0.480 0.006 0.907
0.134 0.681 0.565
0.743 0.856 0.293
0.424 0.520 0.944
0.077 0.205 0.602
0.520 0.944 0.424
0.205 0.602 0.077
0.856 0.293 0.743
0.602 0.077 0.205
0.293 0.743 0.856
0.944 0.424 0.520
0.965 0.652 0.304
0.652 0.304 0.965
0.304 0.965 0.652
0.467 0.799 0.155
0.155 0.467 0.799
0.799 0.155 0.467
0.525 0.355 0.258
0.156 0.020 0.931
0.824 0.694 0.598
0.694 0.598 0.824
0.355 0.258 0.525
0.020 0.931 0.156
0.931 0.156 0.020
0.598 0.824 0.694
0.258 0.525 0.355
0.739 0.898 0.005
0.415 0.551 0.639
0.084 0.224 0.309
0.551 0.639 0.415
0.224 0.309 0.084
0.898 0.005 0.739
0.309 0.084 0.224
0.005 0.739 0.898
0.639 0.415 0.551
```

[15]
DFT (GGA-PBEsol) results for a relaxed structure of Ba5Fe.

The volume comes out at 43.26 Å³/atom. As for the formation energy: 513 meV per atom. As for the space-group type: P-62m. The value obtained for the electronic total energy is -16.63 eV/cell. As for the density of states at the Fermi level: 12.2 states/eV/cell.

```
Ba5Fe
1.0
-4.153 3.152 3.113
3.086 -1.883 6.024
2.001 5.879 -3.284
Ba Fe
5 1
Direct
0.000 0.301 0.301
0.000 0.699 0.000
0.000 0.000 0.699
0.500 0.333 0.667
0.500 0.667 0.333
0.500 0.000 0.000
```

[16]
DFT (GGA-PBEsol) results for a relaxed structure of YPBr4.

The volume comes out at 24.42 Å³/atom. As for the space-group type: F-43m. For the formation energy (no corrections), the calculation gives 0.29 eV/atom. The value obtained for the electronic total energy is -18.36 eV/cell. As for the density of states at the Fermi level: 6.5 states/eV/cell.

```
YPBr4
1.0
-1.166 -5.442 -2.012
1.564 -4.733 3.190
-4.150 -3.300 2.628
Br P Y
4 1 1
Direct
0.375 0.375 0.375
0.375 0.375 0.874
0.874 0.375 0.375
0.375 0.874 0.375
0.750 0.750 0.750
0.000 0.000 0.000
```

[17]
DFT (GGA-PBEsol) results for a relaxed structure of TiI2O.

The volume comes out at 24.61 Å³/atom. As for the space-group type: I-42d. For the formation energy (no corrections), the calculation gives 0.12 eV/atom. The value obtained for the electronic total energy is -33.28 eV/cell. As for the density of states at the Fermi level: 2.3 states/eV/cell.

```
TiI2O
1.0
6.510 0.000 0.000
-3.255 5.668 0.236
0.000 3.510 5.482
I O Ti
4 2 2
Direct
0.615 0.750 0.375
0.135 0.750 0.875
0.875 0.250 0.615
0.375 0.250 0.135
0.250 0.500 0.250
0.500 0.000 0.500
0.750 0.500 0.750
0.000 0.000 0.000
```

[18]
DFT (GGA-PBEsol) results for a relaxed structure of Si2BiAs.

The volume comes out at 23.31 Å³/atom. As for the space-group type: I-42d. For the formation energy (no corrections), the calculation gives 0.40 eV/atom. The value obtained for the electronic total energy is -38.58 eV/cell. As for the density of states at the Fermi level: 3.1 states/eV/cell. The calculation puts the energy above the most stable polymorph in this dataset at 0.0 meV per atom.

```
Si2BiAs
1.0
6.261 0.236 0.341
-2.786 5.612 -0.341
-2.786 -2.301 5.130
As Si Bi
2 4 2
Direct
0.000 0.500 0.500
0.500 0.250 0.750
0.046 0.875 0.421
0.954 0.375 0.829
0.454 0.579 0.625
0.546 0.171 0.125
0.000 0.000 0.000
0.500 0.750 0.250
```

[19]
DFT (GGA-PBEsol) results for a relaxed structure of NaN2OF.

The volume comes out at 13.42 Å³/atom. As for the space-group type: P4/mmm. For the formation energy (no corrections), the calculation gives 1.76 eV/atom. The value obtained for the electronic total energy is -16.85 eV/cell. As for the density of states at the Fermi level: 2.2 states/eV/cell.

```
NaN2OF
1.0
3.789 0.000 0.000
0.000 3.789 0.000
0.000 0.000 4.673
Na N O F
1 2 1 1
Direct
0.500 0.500 0.500
0.000 0.500 0.000
0.500 0.000 0.000
0.000 0.000 0.500
0.000 0.000 0.000
```

[20]
DFT (GGA-PBEsol) results for a relaxed structure of K2PtCl4.

The volume comes out at 28.24 Å³/atom. As for the space-group type: P4/mmm. For the formation energy (no corrections), the calculation gives -1.32 eV/atom. The value obtained for the electronic total energy is -26.51 eV/cell. As for the density of states at the Fermi level: 0.0 states/eV/cell.

```
K2PtCl4
1.0
4.105 0.000 0.000
0.000 6.940 0.000
0.000 0.000 6.940
K Pt Cl
2 1 4
Direct
0.500 0.000 0.500
0.500 0.500 0.000
0.000 0.000 0.000
0.000 0.234 0.234
0.000 0.766 0.766
0.000 0.766 0.234
0.000 0.234 0.766
```